Record 1
DFT (PBE-GGA) results for a geometry-optimized ErZnOs structure.

abc: 4.3761 4.3761 4.3761
angles: 60.00 60.00 60.00
Closest atoms and distances in Å follow each position.
Sites, in units of the cell vectors:
Er: 0.0000 0.0000 0.0000  4 Zn 2.68
Zn: 0.2500 0.2500 0.2500  4 Os 2.68, 4 Er 2.68
Os: 0.5000 0.5000 0.5000  4 Zn 2.68

Computed properties:
Its electronic total energy is -5.46 eV per atom. The space group is F-43m. For the calculated formation energy, the calculation gives 0.227 eV/atom.

***

Record 2
DFT (PBE-GGA) results for a geometry-optimized Er2P structure.

abc: 5.9315 5.9315 5.9315
angles: 60.00 60.00 60.00
Closest atoms and distances in Å follow each position.
Sites, in units of the cell vectors:
Er: 0.0000 0.0000 0.0000  6 Er 2.97
Er: 0.0000 0.0000 0.5000  6 Er 2.97
Er: 0.0000 0.5000 0.0000  6 Er 2.97
Er: 0.5000 0.0000 0.0000  6 Er 2.97
P: 0.3750 0.3750 0.3750  12 Er 3.48, 4 P 3.63
P: 0.6250 0.6250 0.6250  12 Er 3.48, 4 P 3.63

Computed properties:
Its electronic total energy is -4.48 eV per atom. The space group is Fd-3m.

***

Record 3
DFT (PBE-GGA) results for a geometry-optimized Er2P structure.

abc: 4.6438 4.6438 4.6438
angles: 60.00 60.00 60.00
Closest atoms and distances in Å follow each position.
Sites, in units of the cell vectors:
Er: 0.2500 0.2500 0.2500  4 P 2.84
Er: 0.7500 0.7500 0.7500  4 P 2.84
P: 0.0000 0.0000 0.0000  8 Er 2.84

Computed properties:
Its electronic total energy is -5.63 eV per atom. The space group is Fm-3m.

***

Record 4
DFT (PBE-GGA) results for a geometry-optimized Er2P structure.

abc: 8.5188 8.5188 8.5188
angles: 60.00 60.00 60.00
Closest atoms and distances in Å follow each position.
Sites, in units of the cell vectors:
Er: 0.0000 0.0000 0.0000  2 P 2.61
Er: 0.0000 0.0000 0.5000  2 P 2.61
Er: 0.0000 0.5000 0.0000  2 P 2.61
Er: 0.5000 0.0000 0.0000  2 P 2.61
P: 0.1250 0.1250 0.1250  4 Er 2.61
P: 0.8750 0.8750 0.8750  4 Er 2.61

Computed properties:
Its electronic total energy is -4.27 eV per atom. The space group is Fd-3m.

***

Record 5
DFT (PBE-GGA) results for a geometry-optimized Er2P structure.

abc: 7.3754 3.7979 10.0726
angles: 90.00 90.00 90.00
Closest atoms and distances in Å follow each position.
Sites, in units of the cell vectors:
Er: 0.0249 0.2500 0.1958  4 P 2.76-2.91
Er: 0.1755 0.7500 0.4550  4 P 2.89-3.05
Er: 0.3245 0.2500 0.9550  4 P 2.89-3.05
Er: 0.4751 0.7500 0.6958  4 P 2.76-2.91
Er: 0.5249 0.2500 0.3042  4 P 2.76-2.91
Er: 0.6755 0.7500 0.0450  4 P 2.89-3.05
Er: 0.8245 0.2500 0.5450  4 P 2.89-3.05
Er: 0.9751 0.7500 0.8042  4 P 2.76-2.91
P: 0.1787 0.2500 0.6718  8 Er 2.76-3.05
P: 0.3213 0.7500 0.1718  8 Er 2.76-3.05
P: 0.6787 0.2500 0.8282  8 Er 2.76-3.05
P: 0.8213 0.7500 0.3282  8 Er 2.76-3.05

Computed properties:
Its electronic total energy is -5.85 eV per atom. The space group is Pnma.

***

Record 6
DFT (PBE-GGA) results for a geometry-optimized Er3PaP4 structure.

abc: 6.8504 6.8504 3.9667
angles: 90.00 90.00 109.47
Closest atoms and distances in Å follow each position.
Sites, in units of the cell vectors:
Er: 0.0000 0.0000 0.0000  6 P 2.81-2.82
Er: 0.0000 0.5000 0.5000  6 P 2.80
Er: 0.5000 0.0000 0.5000  6 P 2.80
Pa: 0.5000 0.5000 0.0000  6 P 2.77-2.79
P: 0.2511 0.2511 0.5000  2 Pa 2.79, 4 Er 2.80-2.81
P: 0.2521 0.7479 0.0000  1 Pa 2.77, 5 Er 2.80-2.82
P: 0.7479 0.2521 0.0000  1 Pa 2.77, 5 Er 2.80-2.82
P: 0.7489 0.7489 0.5000  2 Pa 2.79, 4 Er 2.80-2.81

Computed properties:
Its electronic total energy is -7.15 eV per atom. The space group is Cmmm.